Entry from Alexandria: crystalline La2YAu4 at its relaxed geometry (PBE-GGA).

Magnetic moment: 0.0 μB per formula unit
ΔH_f (0 K): -0.698 eV/atom
VASP energy: -0.1802 Ha/atom

a = 7.5938 Å, b = 7.5938 Å, c = 7.5938 Å
α = 138.62°, β = 138.62°, γ = 59.96°
Atoms (fractional coordinates):
La: 0.2158 0.2158 0.0000
La: 0.7842 0.7842 0.0000
Y: 0.5000 0.5000 0.0000
Au: 0.1127 0.6127 0.5000
Au: 0.3873 0.8873 0.5000
Au: 0.6127 0.1127 0.5000
Au: 0.8873 0.3873 0.5000



Entry from Alexandria: crystalline LaY2Au at its relaxed geometry (PBE-GGA).

Magnetic moment: 2.0 μB per formula unit
ΔH_f (0 K): -0.148 eV/atom
VASP energy: -0.1996 Ha/atom

a = 5.3258 Å, b = 5.3258 Å, c = 5.3258 Å
α = 60.00°, β = 60.00°, γ = 60.00°
Atoms (fractional coordinates):
La: 0.0000 0.0000 0.0000
Y: 0.2500 0.2500 0.2500
Y: 0.7500 0.7500 0.7500
Au: 0.5000 0.5000 0.5000



Entry from Alexandria: crystalline La2YAu at its relaxed geometry (PBE-GGA).

Magnetic moment: 0.0 μB per formula unit
ΔH_f (0 K): -0.160 eV/atom
VASP energy: -0.1859 Ha/atom

a = 6.1736 Å, b = 6.1736 Å, c = 3.6992 Å
α = 100.54°, β = 100.54°, γ = 118.24°
Atoms (fractional coordinates):
La: 0.0000 0.5000 0.0000
La: 0.5000 0.0000 0.0000
Y: 0.0000 0.0000 0.5000
Au: 0.5000 0.5000 0.5000



Entry from Alexandria: crystalline LaY2Au at its relaxed geometry (PBE-GGA).

Magnetic moment: 0.0 μB per formula unit
ΔH_f (0 K): -0.120 eV/atom
VASP energy: -0.1986 Ha/atom

a = 5.4284 Å, b = 5.4284 Å, c = 5.4284 Å
α = 60.00°, β = 60.00°, γ = 60.00°
Atoms (fractional coordinates):
La: 0.0000 0.0000 0.0000
Y: 0.5000 0.5000 0.5000
Y: 0.7500 0.7500 0.7500
Au: 0.2500 0.2500 0.2500



Entry from Alexandria: crystalline LaYAu3 at its relaxed geometry (PBE-GGA).

Magnetic moment: 0.0 μB per formula unit
ΔH_f (0 K): -0.841 eV/atom
VASP energy: -0.1869 Ha/atom

a = 14.3742 Å, b = 14.3742 Å, c = 4.6223 Å
α = 90.00°, β = 90.00°, γ = 165.05°
Atoms (fractional coordinates):
La: 0.0737 0.9263 0.7500
La: 0.9263 0.0737 0.2500
Y: 0.2070 0.7930 0.2500
Y: 0.7930 0.2070 0.7500
Au: 0.3136 0.6864 0.2500
Au: 0.3760 0.6240 0.7500
Au: 0.4733 0.5267 0.7500
Au: 0.5267 0.4733 0.2500
Au: 0.6240 0.3760 0.2500
Au: 0.6864 0.3136 0.7500



Entry from Alexandria: crystalline LaY2Au6 at its relaxed geometry (PBE-GGA).

Magnetic moment: 0.0 μB per formula unit
ΔH_f (0 K): -0.757 eV/atom
VASP energy: -0.1810 Ha/atom

a = 8.5170 Å, b = 8.5170 Å, c = 8.5170 Å
α = 154.80°, β = 126.27°, γ = 60.24°
Atoms (fractional coordinates):
La: 0.0000 0.0000 0.0000
Y: 0.3584 0.8584 0.5000
Y: 0.6416 0.1416 0.5000
Au: 0.0113 0.3222 0.6891
Au: 0.3191 0.5000 0.8191
Au: 0.3670 0.6778 0.6891
Au: 0.6330 0.3222 0.3109
Au: 0.6809 0.5000 0.1809
Au: 0.9887 0.6778 0.3109